Below is a relaxed Ta2PtRh4 crystal, with properties calculated at the PBE-GGA level.

ΔE_f, eV/atom: 0.889
Fermi-level density of states, states/eV/f.u.: 8.0
VASP energy, eV per atom: -7.5615

a b c (Å): 4.796 4.796 7.147
angles (deg): 70.40 70.40 90.00
Element x y z (fractional)
Rh 0.209 0.209 0.582
Rh 0.791 0.791 0.418
Rh 0.000 0.500 0.000
Rh 0.500 0.000 0.000
Pt 0.000 0.000 0.000
Ta 0.388 0.388 0.224
Ta 0.612 0.612 0.776